This record from the Alexandria database describes an optimized crystal structure of TiSnOs2. The functional is PBE.

Its space group is I-4m2, No. 119. As for the formation enthalpy at 0 K: -0.0106 eV/atom.

Unit cell a=5.1001 b=5.1001 c=5.1001 alpha=135.62 beta=135.62 gamma=64.57
Sites, in units of the cell vectors:
Ti 0.0000 0.0000 0.0000
Sn 0.7500 0.2500 0.5000
Os 0.2500 0.7500 0.5000
Os 0.5000 0.5000 0.0000